VASP calculation (SCAN) on BeReNi at its PBEsol-relaxed geometry.

Properties
Energy relative to the elements in meV per atom: 860.2

Cell: 5.4521 5.4521 5.4521 Å, 90.00 90.00 90.00°
Space group F-43m (No. 216)
Unique sites:
Be  0.0000  0.0000  0.0000 [4 per cell]
Re  0.2500  0.2500  0.7500 [4 per cell]
Ni  0.0000  0.0000  0.5000 [4 per cell]

=====

VASP calculation (SCAN) on BeReNi2 at its PBEsol-relaxed geometry.

Properties
Energy relative to the elements in meV per atom: 47.6

Cell: 3.3708 3.3708 3.8226 Å, 90.00 90.00 90.00°
Space group P4/mmm (No. 123)
Unique sites:
Be  0.0000  0.0000  0.0000 [1 per cell]
Re  0.5000  0.5000  0.0000 [1 per cell]
Ni  0.0000  0.5000  0.5000 [2 per cell]